Below is a geometry-optimized Ca2Ac5Sn5 structure, with properties calculated at the PBE level.

Unit cell a=15.942 b=4.678 c=13.548 alpha=90.00 beta=108.11 gamma=90.00
Space group C2/m (No. 12)
Inequivalent atoms, fractional coordinates:
Ca1 0.047 0.000 0.285 x4
Ac1 0.000 0.500 0.000 x2
Ac2 0.158 0.500 0.540 x4
Ac3 0.238 0.500 0.851 x4
Sn1 0.000 0.000 0.500 x2
Sn2 0.113 0.000 0.920 x4
Sn3 0.193 0.500 0.300 x4

Values from the calculation:
V in Å³/f.u.: 480
Calculated formation energy in meV per atom: -539
Crystal system: monoclinic

=====

Below is a geometry-optimized Te3PCl structure, with properties calculated at the PBE level.

Unit cell a=9.717 b=8.056 c=4.647 alpha=90.00 beta=90.00 gamma=90.00
Space group Pmn2_1 (No. 31)
Inequivalent atoms, fractional coordinates:
Te1 0.000 0.208 0.000 x2
Te2 0.197 0.366 0.377 x4
P1 0.000 0.526 0.621 x2
Cl1 0.000 0.760 0.385 x2

Values from the calculation:
Relative energy among the computed polymorphs in eV per atom: 0.000
V in Å³/f.u.: 182
Crystal system: orthorhombic
Energy relative to the elements, uncorrected in eV/atom: -0.06

=====

Below is a geometry-optimized PaCl2O2 structure, with properties calculated at the PBE level.

Unit cell a=13.413 b=6.451 c=5.392 alpha=90.00 beta=97.78 gamma=90.00
Space group C2/c (No. 15)
Inequivalent atoms, fractional coordinates:
Pa1 0.000 0.161 0.250 x4
Cl1 0.129 0.474 0.569 x8
O1 0.085 0.061 0.979 x8

Values from the calculation:
Relative energy among the computed polymorphs in eV per atom: 0.000
V in Å³/f.u.: 116
Crystal system: monoclinic
Energy relative to the elements, uncorrected in eV/atom: -2.23

=====

Below is a geometry-optimized RbZrB structure, with properties calculated at the PBE level.

Unit cell a=4.433 b=4.475 c=11.182 alpha=90.74 beta=90.17 gamma=90.00
Space group P-1 (No. 2)
Inequivalent atoms, fractional coordinates:
Rb1 0.248 0.266 0.218 x2
Zr1 0.250 0.755 0.499 x2
B1 0.251 0.276 0.584 x2

Values from the calculation:
Relative energy among the computed polymorphs in eV per atom: 0.358
V in Å³/f.u.: 111
Calculated formation energy in meV per atom: 356
Crystal system: triclinic

=====

Below is a geometry-optimized Tb2Al5Au3 structure, with properties calculated at the PBE level.

Unit cell a=4.379 b=25.246 c=6.988 alpha=90.00 beta=90.00 gamma=90.00
Space group Cmc2_1 (No. 36)
Inequivalent atoms, fractional coordinates:
Tb1 0.000 0.018 0.000 x4
Tb2 0.000 0.326 0.014 x4
Al1 0.000 0.103 0.346 x4
Al2 0.000 0.207 0.826 x4
Al3 0.000 0.208 0.228 x4
Al4 0.000 0.379 0.495 x4
Al5 0.000 0.447 0.173 x4
Au1 0.000 0.109 0.738 x4
Au2 0.000 0.274 0.529 x4
Au3 0.000 0.449 0.785 x4

Values from the calculation:
Relative energy among the computed polymorphs in eV per atom: 0.005
V in Å³/f.u.: 193
Calculated formation energy in meV per atom: -661
Crystal system: orthorhombic

=====

Below is a geometry-optimized LaTaN2 structure, with properties calculated at the PBE level.

Unit cell a=5.922 b=3.429 c=11.118 alpha=90.00 beta=90.00 gamma=90.00
Space group Pnma (No. 62)
Inequivalent atoms, fractional coordinates:
La1 0.079 0.250 0.135 x4
Ta1 0.077 0.750 0.389 x4
N1 0.167 0.250 0.753 x4
N2 0.210 0.250 0.483 x4

Values from the calculation:
V in Å³/f.u.: 56
Crystal system: orthorhombic
Energy relative to the elements, uncorrected in eV/atom: -1.31

=====

Below is a geometry-optimized Li2MoCBr structure, with properties calculated at the PBE level.

Unit cell a=4.030 b=4.030 c=5.271 alpha=90.00 beta=90.00 gamma=90.00
Space group P4/mmm (No. 123)
Inequivalent atoms, fractional coordinates:
Li1 0.000 0.500 0.000 x2
Mo1 0.000 0.000 0.500 x1
C1 0.500 0.500 0.000 x1
Br1 0.500 0.500 0.500 x1

Values from the calculation:
V in Å³/f.u.: 86
Crystal system: tetragonal
Energy relative to the elements, uncorrected in eV/atom: 1.29

=====

Below is a geometry-optimized Pr2ErIn structure, with properties calculated at the PBE level.

Unit cell a=3.6917 b=3.6917 c=33.3109 alpha=90.00 beta=90.00 gamma=120.00
Space group R3m (No. 160, hexagonal axes)
Inequivalent atoms, fractional coordinates:
Pr1 0.0000 0.0000 0.0000 x3
Pr2 0.0000 0.0000 0.1746 x3
Er1 0.0000 0.0000 0.7539 x3
In1 0.0000 0.0000 0.5876 x3

Values from the calculation:
Relative energy among the computed polymorphs in eV per atom: 0.159
V in Å³/f.u.: 131
Calculated formation energy in meV per atom: -106
Crystal system: trigonal

=====

Below is a geometry-optimized LiZn2Se structure, with properties calculated at the PBE level.

Unit cell a=3.711 b=4.653 c=8.358 alpha=90.00 beta=90.00 gamma=90.00
Space group Cmmm (No. 65)
Inequivalent atoms, fractional coordinates:
Li1 0.000 0.000 0.000 x2
Zn1 0.000 0.500 0.239 x4
Se1 0.000 0.000 0.500 x2

Values from the calculation:
Relative energy among the computed polymorphs in eV per atom: 0.399
V in Å³/f.u.: 72
Crystal system: orthorhombic
Energy relative to the elements, uncorrected in eV/atom: -0.01

=====

Below is a geometry-optimized YTmHgRh structure, with properties calculated at the PBE level.

Unit cell a=7.104 b=7.104 c=7.104 alpha=90.00 beta=90.00 gamma=90.00
Space group F-43m (No. 216)
Inequivalent atoms, fractional coordinates:
Y1 0.000 0.000 0.000 x4
Tm1 0.000 0.000 0.500 x4
Hg1 0.250 0.250 0.750 x4
Rh1 0.250 0.250 0.250 x4

Values from the calculation:
V in Å³/f.u.: 90
Calculated formation energy in meV per atom: -631
Crystal system: cubic

=====

Below is a geometry-optimized Pr2CoNi structure, with properties calculated at the PBE level.

Unit cell a=3.9931 b=3.9931 c=21.7085 alpha=90.00 beta=90.00 gamma=120.00
Space group R3m (No. 160, hexagonal axes)
Inequivalent atoms, fractional coordinates:
Pr1 0.0000 0.0000 0.0000 x3
Pr2 0.0000 0.0000 0.1754 x3
Co1 0.0000 0.0000 0.4209 x3
Ni1 0.0000 0.0000 0.7543 x3

Values from the calculation:
Relative energy among the computed polymorphs in eV per atom: 0.000
V in Å³/f.u.: 100
Calculated formation energy in meV per atom: -164
Crystal system: trigonal

=====

Below is a geometry-optimized Tb3HgAu structure, with properties calculated at the PBE level.

Unit cell a=9.848 b=15.705 c=3.834 alpha=90.00 beta=90.00 gamma=90.00
Space group Cmmm (No. 65)
Inequivalent atoms, fractional coordinates:
Tb1 0.000 0.156 0.000 x4
Tb2 0.195 0.388 0.500 x8
Hg1 0.000 0.000 0.500 x2
Hg2 0.000 0.500 0.000 x2
Au1 0.250 0.250 0.000 x4

Values from the calculation:
V in Å³/f.u.: 148
Calculated formation energy in meV per atom: -357
Crystal system: orthorhombic